[1]
Below is crystalline ScV2Pd2 at its relaxed geometry, with properties calculated at the GGA-PBE level.

Unit cell a=7.6422 b=7.6422 c=2.7565 alpha=90.00 beta=90.00 gamma=90.00
Last column: nearest neighbours and their distance in Å.
Fractional positions:
Pd (0.6855, 0.8145, 0.5000)  6 V 2.63-2.69, 2 Pd 2.76
Sc (0.5000, 0.5000, 0.0000)  2 Sc 2.76
Pd (0.3145, 0.1855, 0.5000)  6 V 2.63-2.69, 2 Pd 2.76
Sc (0.0000, 0.0000, 0.0000)  2 Sc 2.76
V (0.6070, 0.1070, 0.0000)  1 V 2.31
V (0.3930, 0.8930, 0.0000)  1 V 2.31
V (0.8930, 0.6070, 0.0000)  1 V 2.31
V (0.1070, 0.3930, 0.0000)  1 V 2.31
Pd (0.1855, 0.6855, 0.5000)  6 V 2.63-2.69, 2 Pd 2.76
Pd (0.8145, 0.3145, 0.5000)  6 V 2.63-2.69, 2 Pd 2.76

## Properties
The volume is 80.49 Å³/f.u. The calculation puts the excess energy over the best structure of this formula in the dataset at 0.0646 eV per atom. As for the space group: P4/mbm, No. 127. The calculation puts the formation energy at -0.15 eV/atom.


[2]
Below is crystalline ScV2Pd2 at its relaxed geometry, with properties calculated at the GGA-PBE level.

Unit cell a=7.5804 b=7.5804 c=2.8408 alpha=90.00 beta=90.00 gamma=90.00
Last column: nearest neighbours and their distance in Å.
Fractional positions:
Pd (0.3712, 0.8712, 0.0000)  6 V 2.60-2.68, 3 Pd 2.76-2.84
V (0.1679, 0.6679, 0.5000)  6 Pd 2.60-2.68, 2 V 2.84
V (0.8321, 0.3321, 0.5000)  6 Pd 2.60-2.68, 2 V 2.84
Pd (0.8712, 0.6288, 0.0000)  6 V 2.60-2.68, 3 Pd 2.76-2.84
Sc (0.5000, 0.5000, 0.0000)  2 Sc 2.84, 4 Pd 2.98, 8 V 3.16
Pd (0.6288, 0.1288, 0.0000)  6 V 2.60-2.68, 3 Pd 2.76-2.84
V (0.3321, 0.1679, 0.5000)  6 Pd 2.60-2.68, 2 V 2.84
V (0.6679, 0.8321, 0.5000)  6 Pd 2.60-2.68, 2 V 2.84
Sc (0.0000, 0.0000, 0.0000)  2 Sc 2.84, 4 Pd 2.98, 8 V 3.16
Pd (0.1288, 0.3712, 0.0000)  6 V 2.60-2.68, 3 Pd 2.76-2.84

## Properties
The volume is 81.62 Å³/f.u. The calculation puts the excess energy over the best structure of this formula in the dataset at 0.1206 eV per atom. As for the space group: P4/mbm, No. 127. The calculation puts the formation energy at -0.09 eV/atom.


[3]
Below is crystalline ScVPd3 at its relaxed geometry, with properties calculated at the GGA-PBE level.

Unit cell a=4.6154 b=4.6154 c=4.6154 alpha=90.00 beta=90.00 gamma=90.00
Last column: nearest neighbours and their distance in Å.
Fractional positions:
Pd (0.0000, 0.5000, 0.0000)  2 V 2.31
Pd (0.0000, 0.0000, 0.5000)  2 V 2.31
Sc (0.5000, 0.5000, 0.5000)  12 Pd 3.26
V (0.0000, 0.0000, 0.0000)  6 Pd 2.31
Pd (0.5000, 0.0000, 0.0000)  2 V 2.31

## Properties
The volume is 98.31 Å³/f.u. The calculation puts the excess energy over the best structure of this formula in the dataset at 0.0000 eV per atom. As for the space group: Pm-3m, No. 221. The calculation puts the formation energy at 0.23 eV/atom.


[4]
Below is crystalline ScVPd14 at its relaxed geometry, with properties calculated at the GGA-PBE level.

Unit cell a=5.5988 b=5.5988 c=7.8540 alpha=90.00 beta=90.00 gamma=90.00
Last column: nearest neighbours and their distance in Å.
Fractional positions:
Pd (0.3750, 0.8750, 0.5000)  8 Pd 2.76, 2 Sc 2.80, 2 V 2.80
Pd (0.3750, 0.3750, 0.0000)  12 Pd 2.80
V (0.3750, 0.3750, 0.5000)  12 Pd 2.74-2.80
Pd (0.1286, 0.1286, 0.2555)  1 V 2.74, 10 Pd 2.76-2.84, 1 Sc 2.78
Pd (0.6214, 0.1286, 0.2555)  1 V 2.74, 10 Pd 2.76-2.84, 1 Sc 2.78
Sc (0.8750, 0.8750, 0.5000)  12 Pd 2.78-2.80
Pd (0.8750, 0.8750, 0.0000)  12 Pd 2.80-2.84
Pd (0.1286, 0.1286, 0.7445)  1 V 2.74, 10 Pd 2.76-2.84, 1 Sc 2.78
Pd (0.8750, 0.3750, 0.0000)  12 Pd 2.80-2.82
Pd (0.6214, 0.1286, 0.7445)  1 V 2.74, 10 Pd 2.76-2.84, 1 Sc 2.78
Pd (0.1286, 0.6214, 0.7445)  1 V 2.74, 10 Pd 2.76-2.84, 1 Sc 2.78
Pd (0.1286, 0.6214, 0.2555)  1 V 2.74, 10 Pd 2.76-2.84, 1 Sc 2.78
Pd (0.8750, 0.3750, 0.5000)  8 Pd 2.76, 2 Sc 2.80, 2 V 2.80
Pd (0.3750, 0.8750, 0.0000)  12 Pd 2.80-2.82
Pd (0.6214, 0.6214, 0.7445)  1 V 2.74, 10 Pd 2.76-2.84, 1 Sc 2.78
Pd (0.6214, 0.6214, 0.2555)  1 V 2.74, 10 Pd 2.76-2.84, 1 Sc 2.78

## Properties
The volume is 246.19 Å³/f.u. As for the space group: P4/mmm, No. 123. The calculation puts the formation energy at -0.28 eV/atom.


[5]
Below is crystalline Sc2VPd9 at its relaxed geometry, with properties calculated at the GGA-PBE level.

Unit cell a=3.9639 b=3.9639 c=11.9040 alpha=90.00 beta=90.00 gamma=90.00
Last column: nearest neighbours and their distance in Å.
Fractional positions:
V (0.0000, 0.0000, 0.0000)  12 Pd 2.72-2.80
Pd (0.5000, 0.5000, 0.0000)  8 Pd 2.72, 4 V 2.80
Pd (0.0000, 0.5000, 0.8436)  8 Pd 2.72-2.85, 2 V 2.72, 2 Sc 2.90
Pd (0.0000, 0.5000, 0.5000)  4 Sc 2.80, 8 Pd 2.80-2.85
Sc (0.0000, 0.0000, 0.6659)  12 Pd 2.80-2.90
Pd (0.5000, 0.0000, 0.8436)  8 Pd 2.72-2.85, 2 V 2.72, 2 Sc 2.90
Sc (0.0000, 0.0000, 0.3341)  12 Pd 2.80-2.90
Pd (0.5000, 0.5000, 0.3282)  4 Sc 2.80, 8 Pd 2.85
Pd (0.5000, 0.0000, 0.5000)  4 Sc 2.80, 8 Pd 2.80-2.85
Pd (0.5000, 0.5000, 0.6718)  4 Sc 2.80, 8 Pd 2.85
Pd (0.0000, 0.5000, 0.1564)  8 Pd 2.72-2.85, 2 V 2.72, 2 Sc 2.90
Pd (0.5000, 0.0000, 0.1564)  8 Pd 2.72-2.85, 2 V 2.72, 2 Sc 2.90

## Properties
The volume is 187.04 Å³/f.u. As for the space group: P4/mmm, No. 123. The calculation puts the formation energy at -0.66 eV/atom.


[6]
Below is crystalline ScV2Pd2 at its relaxed geometry, with properties calculated at the GGA-PBE level.

Unit cell a=3.4620 b=3.4620 c=7.3050 alpha=76.29 beta=76.29 gamma=90.00
Last column: nearest neighbours and their distance in Å.
Fractional positions:
Pd (0.5996, 0.5996, 0.8008)  4 V 2.70, 1 Pd 2.74, 4 Sc 2.81
Sc (0.0000, 0.0000, 0.0000)  8 Pd 2.81
V (0.7500, 0.2500, 0.5000)  4 V 2.45, 4 Pd 2.70
V (0.2500, 0.7500, 0.5000)  4 V 2.45, 4 Pd 2.70
Pd (0.4004, 0.4004, 0.1992)  4 V 2.70, 1 Pd 2.74, 4 Sc 2.81

## Properties
The volume is 82.49 Å³/f.u. The calculation puts the excess energy over the best structure of this formula in the dataset at 0.0000 eV per atom. As for the space group: I4/mmm, No. 139. The calculation puts the formation energy at -0.21 eV/atom.


[7]
Below is crystalline Sc2VPd at its relaxed geometry, with properties calculated at the GGA-PBE level.

Unit cell a=4.7128 b=4.7128 c=4.7128 alpha=60.00 beta=60.00 gamma=60.00
Last column: nearest neighbours and their distance in Å.
Fractional positions:
V (0.0000, 0.0000, 0.0000)  8 Sc 2.89
Pd (0.5000, 0.5000, 0.5000)  8 Sc 2.89
Sc (0.7500, 0.7500, 0.7500)  4 V 2.89, 4 Pd 2.89
Sc (0.2500, 0.2500, 0.2500)  4 Pd 2.89, 4 V 2.89

## Properties
The volume is 74.01 Å³/f.u. The calculation puts the excess energy over the best structure of this formula in the dataset at 0.0387 eV per atom. As for the space group: Fm-3m, No. 225. The calculation puts the formation energy at -0.29 eV/atom.


[8]
Below is crystalline Sc2VPd at its relaxed geometry, with properties calculated at the GGA-PBE level.

Unit cell a=7.3632 b=7.3632 c=5.9838 alpha=52.03 beta=52.03 gamma=90.00
Last column: nearest neighbours and their distance in Å.
Fractional positions:
V (0.2500, 0.7500, 0.5000)  4 Sc 2.84, 2 Pd 2.95
Sc (0.3750, 0.3482, 0.7500)  2 Pd 2.58, 2 V 2.84
V (0.5000, 0.5000, 0.0000)  4 Sc 2.84, 2 Pd 2.95
Sc (0.0982, 0.6250, 0.2500)  2 Pd 2.58, 2 V 2.84
Pd (0.0000, 0.0000, 0.0000)  4 Sc 2.58
Sc (0.8750, 0.9018, 0.7500)  2 Pd 2.58, 2 V 2.84
Sc (0.6518, 0.1250, 0.2500)  2 Pd 2.58, 2 V 2.84
Pd (0.7500, 0.2500, 0.5000)  4 Sc 2.58

## Properties
The volume is 79.95 Å³/f.u. The calculation puts the excess energy over the best structure of this formula in the dataset at 0.4140 eV per atom. As for the space group: I-42d, No. 122. The calculation puts the formation energy at 0.09 eV/atom.


[9]
Below is crystalline Sc2VPdW at its relaxed geometry, with properties calculated at the GGA-PBE level.

Unit cell a=5.0890 b=5.0890 c=4.4514 alpha=90.00 beta=90.00 gamma=90.00
Last column: nearest neighbours and their distance in Å.
Fractional positions:
Sc (0.0000, 0.5000, 0.0000)  2 W 2.54
Sc (0.5000, 0.0000, 0.0000)  2 W 2.54
Pd (0.5000, 0.5000, 0.5000)  8 Sc 3.38, 4 V 3.60
V (0.0000, 0.0000, 0.5000)  2 W 2.23
W (0.0000, 0.0000, 0.0000)  2 V 2.23

## Properties
The volume is 115.28 Å³/f.u. As for the space group: P4/mmm, No. 123. The calculation puts the formation energy at 0.82 eV/atom.


[10]
Below is crystalline ScPdW3 at its relaxed geometry, with properties calculated at the GGA-PBE level.

Unit cell a=4.7644 b=4.7644 c=4.7644 alpha=90.00 beta=90.00 gamma=90.00
Last column: nearest neighbours and their distance in Å.
Fractional positions:
Sc (0.5000, 0.5000, 0.5000)  12 W 3.37
W (0.0000, 0.0000, 0.5000)  2 Pd 2.38
W (0.0000, 0.5000, 0.0000)  2 Pd 2.38
Pd (0.0000, 0.0000, 0.0000)  6 W 2.38
W (0.5000, 0.0000, 0.0000)  2 Pd 2.38

## Properties
The volume is 108.15 Å³/f.u. The calculation puts the excess energy over the best structure of this formula in the dataset at 0.0000 eV per atom. As for the space group: Pm-3m, No. 221. The calculation puts the formation energy at 1.90 eV/atom.


[11]
Below is crystalline ScPdW3 at its relaxed geometry, with properties calculated at the GGA-PBE level.

Unit cell a=4.5622 b=4.5622 c=4.5622 alpha=90.00 beta=90.00 gamma=90.00
Last column: nearest neighbours and their distance in Å.
Fractional positions:
Pd (0.5000, 0.5000, 0.5000)  12 W 3.23
W (0.0000, 0.0000, 0.5000)  2 Sc 2.28
W (0.0000, 0.5000, 0.0000)  2 Sc 2.28
W (0.5000, 0.0000, 0.0000)  2 Sc 2.28
Sc (0.0000, 0.0000, 0.0000)  6 W 2.28

## Properties
The volume is 94.95 Å³/f.u. The calculation puts the excess energy over the best structure of this formula in the dataset at 0.4736 eV per atom. As for the space group: Pm-3m, No. 221. The calculation puts the formation energy at 2.38 eV/atom.


[12]
Below is crystalline Sc3PdW at its relaxed geometry, with properties calculated at the GGA-PBE level.

Unit cell a=4.9944 b=4.9944 c=4.9944 alpha=90.00 beta=90.00 gamma=90.00
Last column: nearest neighbours and their distance in Å.
Fractional positions:
Sc (0.0000, 0.0000, 0.5000)  2 W 2.50
Sc (0.0000, 0.5000, 0.0000)  2 W 2.50
W (0.0000, 0.0000, 0.0000)  6 Sc 2.50
Sc (0.5000, 0.0000, 0.0000)  2 W 2.50
Pd (0.5000, 0.5000, 0.5000)  12 Sc 3.53

## Properties
The volume is 124.58 Å³/f.u. The calculation puts the excess energy over the best structure of this formula in the dataset at 0.0000 eV per atom. As for the space group: Pm-3m, No. 221. The calculation puts the formation energy at 0.59 eV/atom.


[13]
Below is crystalline Sc2PdW at its relaxed geometry, with properties calculated at the GGA-PBE level.

Unit cell a=7.2994 b=7.2994 c=5.9220 alpha=51.95 beta=51.95 gamma=90.00
Last column: nearest neighbours and their distance in Å.
Fractional positions:
Sc (0.1465, 0.6250, 0.2500)  2 Pd 2.58, 2 W 2.79
Sc (0.6035, 0.1250, 0.2500)  2 Pd 2.58, 2 W 2.79
W (0.7500, 0.2500, 0.5000)  4 Sc 2.79, 2 Pd 2.90
Sc (0.3750, 0.3965, 0.7500)  2 Pd 2.58, 2 W 2.79
W (0.0000, 0.0000, 0.0000)  4 Sc 2.79, 2 Pd 2.90
Pd (0.2500, 0.7500, 0.5000)  4 Sc 2.58
Pd (0.5000, 0.5000, 0.0000)  4 Sc 2.58
Sc (0.8750, 0.8535, 0.7500)  2 Pd 2.58, 2 W 2.79

## Properties
The volume is 77.35 Å³/f.u. The calculation puts the excess energy over the best structure of this formula in the dataset at 0.3509 eV per atom. As for the space group: I-42d, No. 122. The calculation puts the formation energy at 0.31 eV/atom.